Material: RbZn
Method: DFT, PBE
State: relaxed

Formation enthalpy at 0 K, kJ/mol of formula units: 54
Symmetry: I-43m (217)

Cell: 10.519 10.519 10.519 Å, 90.00 90.00 90.00°
Sites, in units of the cell vectors:
Zn (0.410, 0.410, 0.590)
Rb (0.713, 0.713, 0.287)
Rb (0.287, 0.287, 0.287)
Rb (0.713, 0.287, 0.713)
Zn (0.910, 0.090, 0.910)
Zn (0.910, 0.910, 0.090)
Rb (0.213, 0.787, 0.213)
Rb (0.213, 0.213, 0.787)
Zn (0.590, 0.410, 0.410)
Zn (0.090, 0.090, 0.090)
Rb (0.787, 0.787, 0.787)
Rb (0.787, 0.213, 0.213)
Zn (0.090, 0.910, 0.910)
Zn (0.410, 0.590, 0.410)
Zn (0.590, 0.590, 0.590)
Rb (0.287, 0.713, 0.713)